5
Lattice="4.163 0.000 0.000 0.000 4.163 0.000 0.000 0.000 6.495" Properties=species:S:1:pos:R:3 comment="LaTcPO2, relaxed, DFT GGA-PBE" sg=P4/mmm energy_ev_per_atom=-6.428 n_ef_per_ev_atom=0.43 polymorph_energy_kcal_per_mol_atoms=24.250 magnetic_moment_mub_per_atom=0.923 crystal_system=tetragonal pbc="T T T"
Tc 2.081 2.081 3.248
P 0.000 0.000 3.248
O 0.000 2.081 0.000
O 2.081 0.000 0.000
La 0.000 0.000 0.000


6
Lattice="4.383 0.000 0.000 0.000 6.387 0.000 -2.192 -3.193 6.760" Properties=species:S:1:pos:R:3 comment="Nd3Bi2Rh, relaxed, DFT GGA-PBE" formation_enthalpy_0k_ev_per_atom=-0.666 sg=Immm energy_ev_per_atom=-5.568 n_ef_per_ev_atom=0.40 magnetic_moment_mub_per_atom=0.000 crystal_system=orthorhombic pbc="T T T"
Nd 0.000 0.000 0.000
Nd 0.000 0.000 4.813
Nd 2.192 3.193 1.946
Bi 0.000 3.193 4.377
Bi 2.192 0.000 2.382
Rh 0.000 3.193 0.000


4
Lattice="0.000 3.237 3.237 3.237 0.000 3.237 3.237 3.237 0.000" Properties=species:S:1:pos:R:3 comment="LaBe2Pd, relaxed, DFT GGA-PBE" formation_enthalpy_0k_ev_per_atom=0.047 sg=Fm-3m energy_ev_per_atom=-4.346 n_ef_per_ev_atom=0.85 polymorph_energy_kcal_per_mol_atoms=9.148 magnetic_moment_mub_per_atom=0.000 crystal_system=cubic pbc="T T T"
Be 4.855 4.855 4.855
Be 1.618 1.618 1.618
Pd 0.000 0.000 0.000
La 3.237 3.237 3.237